Density functional theory data (PBE-GGA) for LiMoPd2 after structural relaxation.

Cell lengths 2.8195, 2.8195, 7.2275 Å; angles 90.00, 90.00, 90.00 degrees
With the nearest neighbours (Å) after each atom.
Fractional positions:
Mo: 0.5000 0.5000 0.5000  8 Pd 2.76, 4 Mo 2.82
Li: 0.5000 0.5000 0.0000  8 Pd 2.62, 4 Li 2.82
Pd: 0.0000 0.0000 0.7640  4 Li 2.62, 4 Mo 2.76, 4 Pd 2.82
Pd: 0.0000 0.0000 0.2360  4 Li 2.62, 4 Mo 2.76, 4 Pd 2.82

Properties
- Mass density: 9.1 g cm⁻³
- Electronic total energy: -5.986 eV per atom
- ΔE to the lowest computed polymorph: 0 meV per atom
- Space-group type: No. 123
- Spin magnetization: 0.00 Bohr magnetons per cell
- Formation energy: -0.20 eV per atom